No. 1
PBE-GGA TbEr2HfP4, optimized geometry; final energy = -7.197 eV/atom; volume = 21.05 Å³ per atom; calculated formation energy = -1529 meV/atom
1.0
3.900 0.000 0.000
0.000 6.765 0.131
0.000 -2.352 6.338
Tb Er Hf P
1 2 1 4
direct
0.500 0.500 0.000
0.500 0.000 0.500
0.000 0.500 0.500
0.000 0.000 0.000
0.500 0.237 0.239
0.500 0.763 0.761
0.000 0.241 0.754
0.000 0.759 0.246


No. 2
PBE-GGA MgAu, optimized geometry; final energy = -2.434 eV/atom; volume = 35.16 Å³ per atom; calculated formation energy = 2 meV/atom
1.0
8.255 0.000 0.000
0.000 8.255 0.000
0.000 0.000 8.255
Mg Au
8 8
direct
0.194 0.194 0.194
0.194 0.806 0.806
0.806 0.194 0.806
0.806 0.806 0.194
0.694 0.694 0.694
0.694 0.306 0.306
0.306 0.694 0.306
0.306 0.306 0.694
0.373 0.373 0.373
0.373 0.627 0.627
0.627 0.373 0.627
0.627 0.627 0.373
0.873 0.873 0.873
0.873 0.127 0.127
0.127 0.873 0.127
0.127 0.127 0.873


No. 3
PBE-GGA Ce3Pr3NdTe8, optimized geometry; final energy = -5.575 eV/atom; volume = 34.35 Å³ per atom
1.0
8.990 0.000 0.000
-4.495 7.786 -0.028
0.000 -5.165 7.381
Ce Pr Nd Te
3 3 1 8
direct
0.500 0.000 0.500
0.500 0.500 0.500
0.000 0.500 0.500
0.000 0.000 0.000
0.000 0.500 0.000
0.500 0.500 0.000
0.000 0.000 0.500
0.251 0.502 0.253
0.749 0.498 0.747
0.746 0.491 0.248
0.254 0.509 0.752
0.746 0.002 0.248
0.254 0.998 0.752
0.256 0.002 0.248
0.744 0.998 0.752


No. 4
PBE-GGA La4YAu, optimized geometry; final energy = -4.647 eV/atom; volume = 32.44 Å³ per atom; calculated formation energy = 261 meV/atom
1.0
0.000 4.600 4.600
4.600 0.000 4.600
4.600 4.600 0.000
La Y Au
4 1 1
direct
0.374 0.877 0.374
0.877 0.374 0.374
0.374 0.374 0.877
0.374 0.374 0.374
0.750 0.750 0.750
0.000 0.000 0.000


No. 5
PBE-GGA RbTlSe2, optimized geometry; final energy = -3.040 eV/atom; volume = 34.69 Å³ per atom
1.0
3.729 -2.153 0.000
0.000 4.306 0.000
0.000 0.000 8.643
Tl Se Rb
1 2 1
direct
0.000 0.000 0.998
0.333 0.667 0.829
0.667 0.333 0.186
0.333 0.667 0.442


No. 6
PBE-GGA RbNaCuF6, optimized geometry; final energy = -3.878 eV/atom; volume = 15.82 Å³ per atom
1.0
7.444 0.000 0.000
0.000 7.741 0.000
-3.722 -3.871 4.942
Rb Na Cu F
2 2 2 12
direct
0.855 0.605 0.710
0.145 0.395 0.290
0.500 0.000 0.500
0.000 0.000 0.500
0.500 0.500 0.000
0.500 0.000 0.000
0.542 0.792 0.084
0.871 0.121 0.743
0.800 0.156 0.256
0.457 0.600 0.256
0.457 0.156 0.256
0.800 0.600 0.256
0.458 0.208 0.916
0.129 0.879 0.257
0.200 0.844 0.744
0.543 0.400 0.744
0.543 0.844 0.744
0.200 0.400 0.744


No. 7
PBE-GGA KSrBi2F, optimized geometry; final energy = -2.514 eV/atom; volume = 79.01 Å³ per atom
1.0
6.164 0.000 0.000
0.000 10.398 0.000
0.000 0.000 6.164
Sr K Bi F
1 1 2 1
direct
0.000 0.000 0.000
0.000 0.500 0.000
0.000 0.000 0.500
0.500 0.000 0.000
0.500 0.500 0.500


No. 8
PBE-GGA NdSm8Al2, optimized geometry; final energy = -4.545 eV/atom; volume = 31.69 Å³ per atom; calculated formation energy = 1 meV/atom
1.0
5.771 -0.324 -0.487
-1.398 8.523 -0.635
-1.398 -3.868 7.621
Nd Sm Al
1 8 2
direct
0.500 0.000 0.000
0.888 0.914 0.676
0.888 0.676 0.914
0.294 0.591 0.591
0.500 0.773 0.227
0.500 0.227 0.773
0.706 0.409 0.409
0.112 0.324 0.086
0.112 0.086 0.324
0.000 0.307 0.693
0.000 0.693 0.307